A plane-wave DFT calculation with PBE-GGA was carried out for a relaxed structure of MoOsSe.

Summary:
The calculation puts the density at 12837 kg/m³. The value obtained for the total DFT energy (no corrections) is -24.6 eV/f.u. For the total moment, the calculation gives 0.0 Bohr magnetons per cell. The calculation puts the calculated volume at 47 Å³/f.u. For the energy relative to the elements, uncorrected, the calculation gives 0.304 eV/atom. The energy above the most stable polymorph in this dataset comes out at 103 meV/atom.

a = 2.917 Å, b = 2.917 Å, c = 6.408 Å
α = 90.00°, β = 90.00°, γ = 120.00°
Positions (direct):
1 Mo 0.000 0.000 0.000
2 Os 0.333 0.667 0.322
3 Se 0.667 0.333 0.677


A plane-wave DFT calculation with PBE-GGA was carried out for a relaxed structure of La4ZnCu3.

Summary:
The calculation puts the density at 6586 kg/m³. The value obtained for the total DFT energy (no corrections) is -34.8 eV/f.u. For the formation energy, the calculation gives -189 meV/atom. For the total moment, the calculation gives 0.0 Bohr magnetons per cell. The calculation puts the calculated volume at 205 Å³/f.u.

a = 3.965 Å, b = 4.612 Å, c = 11.190 Å
α = 90.00°, β = 90.00°, γ = 90.00°
Positions (direct):
1 La 0.000 0.000 0.000
2 La 0.000 0.500 0.277
3 La 0.500 0.000 0.486
4 La 0.500 0.500 0.780
5 Zn 0.000 0.000 0.702
6 Cu 0.000 0.500 0.570
7 Cu 0.500 0.000 0.201
8 Cu 0.500 0.500 0.073


A plane-wave DFT calculation with PBE-GGA was carried out for a relaxed structure of CaP2IrOs.

Summary:
The calculation puts the density at 9846 kg/m³. The value obtained for the total DFT energy (no corrections) is -36.5 eV/f.u. For the formation energy, the calculation gives -716 meV/atom. For the total moment, the calculation gives 0.0 Bohr magnetons per cell. The calculation puts the calculated volume at 82 Å³/f.u.

a = 5.722 Å, b = 5.722 Å, c = 5.722 Å
α = 138.41°, β = 138.41°, γ = 60.28°
Positions (direct):
1 Ca 0.000 0.000 0.000
2 P 0.374 0.374 0.000
3 P 0.626 0.626 0.000
4 Ir 0.250 0.750 0.500
5 Os 0.750 0.250 0.500


A plane-wave DFT calculation with PBE-GGA was carried out for a relaxed structure of Ac2SiNi6Ge.

Summary:
The calculation puts the density at 8535 kg/m³. The value obtained for the total DFT energy (no corrections) is -57.1 eV/f.u. For the total moment, the calculation gives 0.0 Bohr magnetons per cell. The calculation puts the calculated volume at 176 Å³/f.u. For the energy relative to the elements, uncorrected, the calculation gives -0.411 eV/atom.

a = 6.204 Å, b = 6.235 Å, c = 6.340 Å
α = 61.26°, β = 60.84°, γ = 60.24°
Positions (direct):
1 Ac 0.218 0.217 0.347
2 Ac 0.782 0.783 0.653
3 Si 0.500 0.500 0.500
4 Ni 0.252 0.645 0.850
5 Ni 0.253 0.252 0.845
6 Ni 0.351 0.746 0.154
7 Ni 0.649 0.254 0.846
8 Ni 0.747 0.748 0.155
9 Ni 0.748 0.355 0.150
10 Ge 0.000 0.000 0.000